Density functional theory data (PBE) for an optimized crystal structure of P3Br.

Unit cell a=3.523 b=3.523 c=7.000 alpha=90.00 beta=90.00 gamma=90.00
Sites, in units of the cell vectors:
P: 0.000 0.000 0.000
P: 0.000 0.500 0.754
P: 0.500 0.000 0.754
Br: 0.500 0.500 0.226

Density functional theory data (PBE) for an optimized crystal structure of PBr3.

Unit cell a=9.166 b=10.920 c=6.983 alpha=90.00 beta=90.00 gamma=90.00
Sites, in units of the cell vectors:
P: 0.057 0.250 0.024
P: 0.443 0.750 0.524
P: 0.557 0.250 0.476
P: 0.943 0.750 0.976
Br: 0.144 0.250 0.722
Br: 0.178 0.091 0.154
Br: 0.178 0.409 0.154
Br: 0.322 0.591 0.654
Br: 0.322 0.909 0.654
Br: 0.356 0.750 0.222
Br: 0.644 0.250 0.778
Br: 0.678 0.091 0.346
Br: 0.678 0.409 0.346
Br: 0.822 0.591 0.846
Br: 0.822 0.909 0.846
Br: 0.856 0.750 0.278

Density functional theory data (PBE) for an optimized crystal structure of PBr3.

Unit cell a=8.208 b=8.208 c=4.994 alpha=90.00 beta=90.00 gamma=92.25
Sites, in units of the cell vectors:
P: 0.014 0.986 0.750
P: 0.986 0.014 0.250
Br: 0.024 0.285 0.250
Br: 0.285 0.024 0.750
Br: 0.472 0.528 0.750
Br: 0.528 0.472 0.250
Br: 0.715 0.976 0.250
Br: 0.976 0.715 0.750

no.,formation energy without anion corrections (eV/atom),volume (Å³ per cell),ρ (g/cm³)
1,0.342,87,3.30
2,-0.357,699,2.57
3,-0.202,336,2.67